20
Lattice="-3.922 3.922 3.922 3.922 -3.922 3.922 3.922 3.922 -3.922" Properties=species:S:1:pos:R:3 comment="LiAc4Ni3O12 PBE with a Hubbard U relaxed" vol_a3_per_atom=12.07 n_ef_per_ev_atom=0.43 spacegroup=Im-3m energy_ev_per_cell=-128.42 pbc="T T T"
Li 0.000 0.000 0.000
Ac 1.961 1.961 -1.961
Ac 1.961 -1.961 1.961
Ac -1.961 1.961 1.961
Ac 1.961 1.961 1.961
Ni 3.922 0.000 0.000
Ni 0.000 3.922 0.000
Ni 0.000 0.000 3.922
O 2.047 0.000 0.000
O 5.797 0.000 0.000
O 3.922 1.961 0.000
O 3.922 0.000 1.961
O 0.000 2.047 0.000
O 0.000 0.000 2.047
O 1.961 3.922 0.000
O 1.961 0.000 3.922
O 0.000 5.797 0.000
O 0.000 0.000 5.797
O 0.000 3.922 1.961
O 0.000 1.961 3.922